Crystalline TlCrF3 at its relaxed geometry, computed with PBE with a Hubbard U.

Values from the calculation:
Density of states at the Fermi level: 0.00 states/eV/atom
Distance to the lowest polymorph of the same formula: 0 meV per atom
Magnetization: 4.0 μB per formula unit

Cell: 6.2644 6.2650 8.2569 Å, 90.00 90.00 90.00°
Sites, in units of the cell vectors:
Tl (0.5000, 0.5002, 0.7500)
Tl (0.0000, 0.0002, 0.2500)
Tl (0.5000, 0.4998, 0.2500)
Tl (0.0000, 0.9998, 0.7500)
Cr (0.0000, 0.5000, 0.0000)
Cr (0.5000, 0.0000, 0.5000)
Cr (0.5000, 0.0000, 0.0000)
Cr (0.0000, 0.5000, 0.5000)
F (0.7717, 0.2717, 0.0028)
F (0.7283, 0.7717, 0.5028)
F (0.7283, 0.7717, 0.9972)
F (0.2283, 0.7283, 0.5028)
F (0.2283, 0.7283, 0.9972)
F (0.2717, 0.2283, 0.4972)
F (0.2717, 0.2283, 0.0028)
F (0.7717, 0.2717, 0.4972)
F (0.5000, 0.0053, 0.7500)
F (0.0000, 0.5053, 0.2500)
F (0.5000, 0.9947, 0.2500)
F (0.0000, 0.4947, 0.7500)